# KLi2CrI

A geometry-optimized KLi2CrI structure (PBE, Alexandria via LeMat-Bulk).

Cell lengths 5.537, 5.537, 5.786 Å; angles 90.00, 90.00, 90.00 degrees
Atoms (fractional coordinates):
K  0.000  0.000  0.000
Li  0.000  0.500  0.500
Li  0.500  0.000  0.500
Cr  0.500  0.500  0.000
I  0.500  0.500  0.500

Calculated values
Fermi-level density of states: 2.90 states/eV/f.u.
VASP energy: -2.893 eV/atom
formation energy (no corrections): 0.327 eV per atom
spin magnetization: 5.7 Bohr magnetons per cell
space-group type: No. 123